1.
## Rb2In6AgPb (PBE-GGA)

Data for a relaxed structure of Rb2In6AgPb.

Geometry as extended XYZ:
```
20
Lattice="7.718 0.000 0.000 3.859 6.684 0.000 3.859 2.228 14.039" Properties=species:S:1:pos:R:3 pbc="T T T"
In 10.088 3.088 11.691
In 5.540 5.714 8.770
Pb 7.718 4.456 10.671
In 10.088 5.824 2.348
In 5.349 3.088 11.691
In 9.897 3.199 5.269
Ag 0.000 0.000 0.000
In 7.718 7.192 11.691
In 7.718 1.941 8.770
Ag 7.718 4.456 7.020
In 7.718 1.720 2.348
In 5.349 5.824 2.348
Pb 7.718 4.456 3.368
Rb 11.578 6.684 5.709
Rb 11.578 6.684 12.899
In 5.540 3.199 5.269
Rb 3.859 2.228 1.140
In 7.718 6.971 5.269
Rb 3.859 2.228 8.330
In 9.897 5.714 8.770
```

Calculated values
For the formation energy, the calculation gives 85.5 meV per atom. Its space group is R-3m (166).

***

2.
## Li5YIn6 (PBE-GGA)

Data for a relaxed structure of Li5YIn6.

Geometry as extended XYZ:
```
12
Lattice="-2.407 3.719 -1.732 -7.412 -1.642 0.281 -0.387 2.909 6.784" Properties=species:S:1:pos:R:3 pbc="T T T"
Li -0.194 1.454 3.392
In -4.642 3.273 0.438
In -4.827 4.660 3.673
Li -3.302 0.678 -0.479
Li -3.527 2.115 2.919
In -5.564 1.713 4.895
Y 0.000 0.000 0.000
Li -6.679 2.871 2.414
Li -6.904 4.307 5.812
In -8.724 1.038 1.328
In -5.379 0.326 1.659
In -1.482 3.948 4.005
```

Calculated values
For the formation energy, the calculation gives -317.7 meV per atom. Its space group is P2/m (10).

***

3.
## CoGe2Pt2 (PBE-GGA)

Data for a relaxed structure of CoGe2Pt2.

Geometry as extended XYZ:
```
10
Lattice="-2.307 4.932 -4.451 -5.662 -3.925 -1.415 -1.603 1.438 2.424" Properties=species:S:1:pos:R:3 pbc="T T T"
Co 0.000 0.000 0.000
Pt -5.682 -1.603 -2.806
Pt -5.615 1.710 -4.727
Ge -4.930 -1.080 -0.451
Ge -4.641 3.524 -2.991
Ge -7.070 0.703 -2.924
Co -3.984 0.503 -2.933
Ge -2.501 1.742 -0.519
Pt -2.354 -0.703 -1.139
Pt -2.287 2.609 -3.060
```

Calculated values
For the formation energy, the calculation gives 43.1 meV per atom. Its space group is P4/mbm (127).

***

4.
## MnGaGeSe2 (PBE-GGA)

Data for a relaxed structure of MnGaGeSe2.

Geometry as extended XYZ:
```
5
Lattice="0.065 -0.344 -3.610 -1.629 -5.416 0.262 -4.842 3.134 1.485" Properties=species:S:1:pos:R:3 pbc="T T T"
Se -3.644 -4.052 0.119
Ge -1.523 -5.233 -1.010
Se -0.734 -2.146 -1.475
Ga -4.207 -1.912 -1.389
Mn -3.795 0.717 -1.794
```

Calculated values
As for the formation energy without anion corrections: -0.117 eV per atom. Its space group is P1 (1).

***

5.
## CeYTh2Bi5 (PBE-GGA)

Data for a relaxed structure of CeYTh2Bi5.

Geometry as extended XYZ:
```
9
Lattice="5.428 0.000 0.000 0.000 5.428 0.000 0.000 0.000 11.883" Properties=species:S:1:pos:R:3 pbc="T T T"
Ce 0.000 0.000 0.000
Y 0.000 0.000 5.941
Bi 0.000 0.000 8.914
Bi 0.000 2.714 5.941
Bi 2.714 2.714 0.000
Th 2.714 2.714 3.649
Bi 2.714 0.000 5.941
Bi 0.000 0.000 2.969
Th 2.714 2.714 8.234
```

Calculated values
For the formation energy, the calculation gives 33.1 meV per atom. Its space group is P4/mmm (123).

***

6.
## Li2Ca (PBE-GGA)

Data for a relaxed structure of Li2Ca.

Geometry as extended XYZ:
```
6
Lattice="3.949 -5.345 1.126 -3.333 -4.356 3.917 -1.771 3.095 -5.719" Properties=species:S:1:pos:R:3 pbc="T T T"
Li -0.963 -5.655 1.129
Li -3.068 -1.248 -2.027
Li 1.912 -5.357 1.351
Li -0.193 -0.951 -1.805
Ca 0.462 -7.276 3.782
Ca 0.154 -2.425 1.261
```

Calculated values
For the formation energy, the calculation gives 84.2 meV per atom. Its space group is I4/mcm (140).

***

7.
## Mn2NbTeAu (PBE-GGA)

Data for a relaxed structure of Mn2NbTeAu.

Geometry as extended XYZ:
```
5
Lattice="-3.125 -2.510 2.851 2.242 -4.199 -1.239 3.237 0.541 4.024" Properties=species:S:1:pos:R:3 pbc="T T T"
Mn -1.562 -1.255 1.426
Mn 1.121 -2.100 -0.619
Au 1.177 -3.084 2.818
Te 1.619 0.271 2.012
Nb 0.000 0.000 0.000
```

Calculated values
As for the formation energy without anion corrections: 1.045 eV per atom. Its space group is P4/mmm (123).

***

8.
## GaHg3C (PBE-GGA)

Data for a relaxed structure of GaHg3C.

Geometry as extended XYZ:
```
5
Lattice="4.837 0.000 0.000 0.000 4.837 0.000 0.000 0.000 4.837" Properties=species:S:1:pos:R:3 pbc="T T T"
Hg 2.418 0.000 0.000
Ga 2.418 2.418 2.418
Hg 0.000 2.418 0.000
Hg 0.000 0.000 2.418
C 0.000 0.000 0.000
```

Calculated values
For the formation energy, the calculation gives 981.9 meV per atom. Its space group is Pm-3m (221).

***

9.
## Sr2SnAs3Pt4 (PBE-GGA)

Data for a relaxed structure of Sr2SnAs3Pt4.

Geometry as extended XYZ:
```
10
Lattice="4.477 0.000 0.000 0.000 4.477 0.000 0.000 0.000 10.596" Properties=species:S:1:pos:R:3 pbc="T T T"
As 0.000 2.238 1.325
Pt 0.000 0.000 0.000
Pt 2.238 0.000 6.773
As 0.000 0.000 5.298
Sr 0.000 2.238 8.065
Pt 0.000 2.238 3.823
Sr 2.238 0.000 2.530
Sn 2.238 2.238 5.298
Pt 2.238 2.238 0.000
As 2.238 0.000 9.270
```

Calculated values
For the formation energy, the calculation gives -751.3 meV per atom. Its space group is P-4m2 (115).

***

10.
## TaTi2Mo (PBE-GGA)

Data for a relaxed structure of TaTi2Mo.

Geometry as extended XYZ:
```
4
Lattice="2.138 -3.652 -1.671 -1.675 -4.161 0.758 -1.860 -2.360 -3.416" Properties=species:S:1:pos:R:3 pbc="T T T"
Ti -0.349 -2.543 -1.082
Ta -0.699 -5.087 -2.164
Ti -1.048 -7.630 -3.246
Mo 0.000 0.000 0.000
```

Calculated values
For the formation energy, the calculation gives 51.3 meV per atom. Its space group is Fm-3m (225).

***

11.
## TlCd3Hg5 (PBE-GGA)

Data for a relaxed structure of TlCd3Hg5.

Geometry as extended XYZ:
```
18
Lattice="6.414 0.000 0.000 0.000 9.201 0.000 0.000 -4.601 7.968" Properties=species:S:1:pos:R:3 pbc="T T T"
Hg 3.207 4.601 2.656
Cd 4.811 1.583 2.742
Cd 1.604 7.618 2.742
Hg 3.207 0.000 5.312
Cd 1.604 3.017 5.226
Hg 4.811 -1.515 2.624
Hg 1.604 6.116 5.344
Tl 0.000 0.000 0.000
Hg 0.000 4.601 2.656
Hg 1.604 6.172 0.000
Cd 4.811 6.035 0.000
Hg 1.604 1.515 2.624
Cd 4.811 -3.017 5.226
Cd 1.604 3.166 0.000
Tl 3.207 0.000 0.000
Hg 4.811 3.086 5.344
Hg 0.000 0.000 5.312
Hg 4.811 3.030 0.000
```

Calculated values
For the formation energy, the calculation gives 27.4 meV per atom. Its space group is P6_3/mcm (193).

***

12.
## KY3W (PBE-GGA)

Data for a relaxed structure of KY3W.

Geometry as extended XYZ:
```
5
Lattice="5.125 0.000 0.000 0.000 5.125 0.000 0.000 0.000 5.125" Properties=species:S:1:pos:R:3 pbc="T T T"
Y 2.563 0.000 0.000
K 0.000 0.000 0.000
Y 0.000 0.000 2.563
W 2.563 2.563 2.563
Y 0.000 2.563 0.000
```

Calculated values
For the formation energy, the calculation gives 1996.1 meV per atom. Its space group is Pm-3m (221).

***

| no. | magnetic moment (μB per formula unit) | density of states at the Fermi level (states/eV per atom) |
| --- | --- | --- |
| 1 | 0.0 | 0.424 |
| 2 | 0.0 | 0.301 |
| 3 | 1.4 | 1.652 |
| 4 | 3.8 | 0.364 |
| 5 | 0.7 | 1.029 |
| 6 | 0.0 | 0.571 |
| 7 | 6.7 | 0.768 |
| 8 | 0.0 | 0.481 |
| 9 | 0.0 | 0.696 |
| 10 | 0.0 | 2.117 |
| 11 | 0.0 | 0.327 |
| 12 | 0.0 | 1.127 |